Below is a relaxed Dy2ErZn3PdAu2 crystal, with properties calculated at the PBE level.

Calculated values
The crystal system is orthorhombic. The value obtained for the total energy is -3.96 eV per atom. The value obtained for the formation energy is -0.7116 eV/atom.

```
Dy2ErZn3PdAu2
1.0
3.911 0.000 0.000
0.000 6.365 3.687
0.000 -6.365 3.687
Dy Er Zn Pd Au
2 1 3 1 2
Cartesian
0.000 -3.790 3.687
0.000 3.790 3.687
0.000 0.000 4.459
1.955 -1.553 2.389
1.955 1.553 2.389
1.955 0.000 7.068
0.000 0.000 1.503
1.955 -2.104 5.172
1.955 2.104 5.172
```